First-principles (PBEsol) data for a geometry-optimized LaCdB5O10 structure, as listed in Alexandria via LeMat-Bulk.

Values from the calculation:
ΔE_f (raw) = -2.54 eV/atom
size of the total moment = 0.0 μB/cell
final energy = -8.079 eV per atom
space-group type = No. 14

```
LaCdB5O10
1.0
7.899 0.000 0.000
0.000 8.761 0.034
0.000 0.206 9.628
La Cd B O
4 4 20 40
Direct
0.824 0.190 0.766
0.324 0.310 0.734
0.176 0.810 0.234
0.676 0.690 0.266
0.591 0.608 0.874
0.091 0.892 0.626
0.409 0.392 0.126
0.909 0.108 0.374
0.422 0.917 0.745
0.824 0.433 0.092
0.324 0.067 0.408
0.176 0.567 0.908
0.676 0.933 0.592
0.104 0.351 0.503
0.604 0.149 0.997
0.896 0.649 0.497
0.396 0.851 0.003
0.922 0.583 0.755
0.578 0.083 0.255
0.078 0.417 0.245
0.674 0.483 0.601
0.174 0.017 0.899
0.326 0.517 0.399
0.826 0.983 0.101
0.470 0.719 0.557
0.970 0.781 0.943
0.530 0.281 0.443
0.030 0.219 0.057
0.787 0.470 0.726
0.333 0.498 0.923
0.833 0.002 0.577
0.667 0.502 0.077
0.167 0.998 0.423
0.555 0.237 0.886
0.055 0.263 0.614
0.445 0.763 0.114
0.287 0.030 0.774
0.945 0.737 0.386
0.713 0.970 0.226
0.213 0.530 0.274
0.466 0.832 0.874
0.966 0.668 0.626
0.534 0.168 0.126
0.034 0.332 0.374
0.577 0.994 0.695
0.077 0.506 0.805
0.423 0.006 0.305
0.923 0.494 0.195
0.360 0.810 0.642
0.860 0.690 0.858
0.640 0.190 0.358
0.140 0.310 0.142
0.530 0.582 0.639
0.030 0.918 0.861
0.470 0.418 0.361
0.970 0.082 0.139
0.609 0.326 0.577
0.109 0.174 0.923
0.391 0.674 0.423
0.878 0.314 0.014
0.769 0.542 0.480
0.269 0.958 0.020
0.231 0.458 0.520
0.731 0.042 0.980
0.622 0.814 0.514
0.122 0.686 0.986
0.378 0.186 0.486
0.891 0.826 0.077
```